Below is Pm2NdHo3Er6 after structural relaxation, with properties calculated at the PBE level.

Cell: 6.1509 6.1509 11.7206 Å, 95.01 95.01 119.96°
Closest atoms and distances in Å follow each position.
Fractional coordinates of all 12 atoms:
Pm: 0.3333 0.6667 0.0000  3 Nd 3.55, 3 Pm 3.55, 6 Er 3.57
Pm: 0.6667 0.3333 0.0000  3 Nd 3.55, 3 Pm 3.55, 6 Er 3.57
Nd: 0.0000 0.0000 0.0000  6 Pm 3.55, 6 Er 3.57-3.58
Ho: 0.1667 0.8333 0.5000  6 Er 3.50-3.51, 6 Ho 3.55
Ho: 0.8333 0.1667 0.5000  6 Er 3.50-3.51, 6 Ho 3.55
Ho: 0.5000 0.5000 0.5000  6 Er 3.51, 6 Ho 3.55
Er: 0.9146 0.5811 0.7465  3 Ho 3.50-3.51, 6 Er 3.55, 2 Pm 3.57, 1 Nd 3.58
Er: 0.7518 0.7518 0.2535  3 Ho 3.51, 6 Er 3.55, 1 Nd 3.57, 2 Pm 3.57
Er: 0.0854 0.4189 0.2535  3 Ho 3.50-3.51, 6 Er 3.55, 2 Pm 3.57, 1 Nd 3.58
Er: 0.5811 0.9146 0.7465  3 Ho 3.50-3.51, 6 Er 3.55, 2 Pm 3.57, 1 Nd 3.58
Er: 0.2482 0.2482 0.7465  3 Ho 3.51, 6 Er 3.55, 1 Nd 3.57, 2 Pm 3.57
Er: 0.4189 0.0854 0.2535  3 Ho 3.50-3.51, 6 Er 3.55, 2 Pm 3.57, 1 Nd 3.58

Summary:
* density: 8.483 g cm⁻³
* density of states at the Fermi level: 1.3141 states/eV/atom
* DFT total energy: -4.595 eV/atom



Below is PmNd2HoEr2 after structural relaxation, with properties calculated at the PBE level.

Cell: 5.6821 6.9956 9.8665 Å, 90.00 90.00 90.00°
Closest atoms and distances in Å follow each position.
Fractional coordinates of all 12 atoms:
Pm: 0.0000 0.0074 0.5000  2 Pm 3.50, 2 Nd 3.70, 4 Ho 3.71, 6 Er 3.72-3.74
Pm: 0.0000 0.5074 0.5000  2 Pm 3.50, 2 Nd 3.70, 4 Ho 3.71, 6 Er 3.72-3.74
Nd: 0.5000 0.0078 0.0000  6 Nd 3.50-3.73, 6 Er 3.71-3.72, 2 Ho 3.75
Nd: 0.0000 0.2579 0.1698  5 Er 3.26-3.50
Nd: 0.5000 0.5078 0.0000  6 Nd 3.50-3.73, 6 Er 3.71-3.72, 2 Ho 3.75
Nd: 0.0000 0.7579 0.8302  5 Er 3.26-3.50
Ho: 0.5000 0.2573 0.6641  5 Er 3.27-3.50
Ho: 0.5000 0.7573 0.3359  5 Er 3.27-3.50
Er: 0.0000 0.2580 0.8347  2 Ho 3.30, 3 Nd 3.31-3.50
Er: 0.5000 0.2573 0.3328  2 Nd 3.26, 3 Ho 3.27-3.50
Er: 0.0000 0.7580 0.1653  2 Ho 3.30, 3 Nd 3.31-3.50
Er: 0.5000 0.7573 0.6672  2 Nd 3.26, 3 Ho 3.27-3.50

Summary:
* density: 7.900 g cm⁻³
* density of states at the Fermi level: 1.5191 states/eV/atom
* DFT total energy: -4.595 eV/atom



Below is Pm6Nd3HoEr2 after structural relaxation, with properties calculated at the PBE level.

Cell: 6.2868 6.2868 11.9750 Å, 95.01 95.01 120.02°
Closest atoms and distances in Å follow each position.
Fractional coordinates of all 12 atoms:
Pm: 0.9179 0.5845 0.7548  2 Er 3.57, 1 Ho 3.57, 6 Pm 3.63, 3 Nd 3.66
Pm: 0.7486 0.7486 0.2451  1 Ho 3.57, 2 Er 3.57, 6 Pm 3.63, 3 Nd 3.66
Pm: 0.0821 0.4155 0.2452  2 Er 3.57, 1 Ho 3.57, 6 Pm 3.63, 3 Nd 3.66
Pm: 0.5845 0.9179 0.7548  2 Er 3.57, 1 Ho 3.57, 6 Pm 3.63, 3 Nd 3.66
Pm: 0.2514 0.2514 0.7549  1 Ho 3.57, 2 Er 3.57, 6 Pm 3.63, 3 Nd 3.66
Pm: 0.4155 0.0821 0.2452  2 Er 3.57, 1 Ho 3.57, 6 Pm 3.63, 3 Nd 3.66
Nd: 0.1667 0.8333 0.5000  6 Nd 3.63, 6 Pm 3.66
Nd: 0.8333 0.1667 0.5000  6 Nd 3.63, 6 Pm 3.66
Nd: 0.5000 0.5000 0.5000  6 Nd 3.63, 6 Pm 3.66
Ho: 0.0000 0.0000 0.0000  6 Pm 3.57, 6 Er 3.63
Er: 0.3333 0.6667 0.0000  6 Pm 3.57, 3 Er 3.63, 3 Ho 3.63
Er: 0.6667 0.3333 0.0000  6 Pm 3.57, 3 Er 3.63, 3 Ho 3.63

Summary:
* density: 7.417 g cm⁻³
* density of states at the Fermi level: 1.3434 states/eV/atom
* DFT total energy: -4.693 eV/atom